Record 1
Crystalline Pm4Pr4Y3 at its relaxed geometry, computed with PBE-GGA.

abc: 3.603 5.767 18.545
angles: 81.13 84.42 90.01
Element x y z (fractional)
Pr  0.680  0.181  0.640
Pr  0.454  0.452  0.092
Pr  0.320  0.819  0.360
Pr  0.546  0.548  0.908
Y  0.863  0.363  0.273
Y  0.137  0.637  0.727
Y  0.000  0.000  0.000
Pm  0.409  0.908  0.181
Pm  0.733  0.733  0.534
Pm  0.267  0.267  0.466
Pm  0.591  0.092  0.819

Properties
DOS(E_F) (states/eV per cell): 19.12
Energy of formation (eV per atom): 0.05
Magnetization (μB per formula unit): 0.00



Record 2
Crystalline Pm2Pr7Y at its relaxed geometry, computed with PBE-GGA.

abc: 5.605 9.587 9.587
angles: 124.94 90.00 90.00
Element x y z (fractional)
Pr  0.000  0.783  0.217
Pr  0.500  0.292  0.070
Pr  0.500  0.500  0.500
Pr  0.500  0.708  0.930
Pr  0.500  0.070  0.292
Pr  0.000  0.217  0.783
Pr  0.500  0.930  0.708
Pm  0.500  0.295  0.705
Pm  0.500  0.705  0.295
Y  0.000  0.000  0.000

Properties
DOS(E_F) (states/eV per cell): 16.03
Energy of formation (eV per atom): 0.61
Magnetization (μB per formula unit): 0.00



Record 3
Crystalline Pm7Pr12Y at its relaxed geometry, computed with PBE-GGA.

abc: 8.968 8.968 8.968
angles: 88.08 88.08 88.08
Element x y z (fractional)
Pr  0.276  0.145  0.743
Pr  0.139  0.490  0.614
Pr  0.145  0.743  0.276
Pr  0.614  0.139  0.490
Pr  0.510  0.386  0.861
Pr  0.861  0.510  0.386
Pr  0.257  0.724  0.855
Pr  0.724  0.855  0.257
Pr  0.855  0.257  0.724
Pr  0.743  0.276  0.145
Pr  0.490  0.614  0.139
Pr  0.386  0.861  0.510
Pm  0.853  0.610  0.928
Pm  0.928  0.853  0.610
Pm  0.500  0.500  0.500
Pm  0.610  0.928  0.853
Pm  0.147  0.390  0.072
Pm  0.072  0.147  0.390
Pm  0.390  0.072  0.147
Y  0.000  0.000  0.000

Properties
Offset from the most stable computed form (meV per atom): 0
DOS(E_F) (states/eV per cell): 40.35
Energy of formation (eV per atom): 0.21
Magnetization (μB per formula unit): 0.00



Record 4
Crystalline Pm6Pr7Y16 at its relaxed geometry, computed with PBE-GGA.

abc: 11.396 11.396 11.396
angles: 60.00 60.00 60.00
Element x y z (fractional)
Y  0.867  0.867  0.867
Y  0.645  0.645  0.065
Y  0.867  0.867  0.398
Y  0.133  0.602  0.133
Y  0.355  0.355  0.355
Y  0.355  0.355  0.935
Y  0.065  0.645  0.645
Y  0.645  0.065  0.645
Y  0.355  0.935  0.355
Y  0.935  0.355  0.355
Y  0.602  0.133  0.133
Y  0.645  0.645  0.645
Y  0.398  0.867  0.867
Y  0.867  0.398  0.867
Y  0.133  0.133  0.133
Y  0.133  0.133  0.602
Pr  0.000  0.500  0.000
Pr  0.500  0.000  0.000
Pr  0.500  0.000  0.500
Pr  0.000  0.000  0.000
Pr  0.500  0.500  0.000
Pr  0.000  0.000  0.500
Pr  0.000  0.500  0.500
Pm  0.755  0.245  0.245
Pm  0.755  0.755  0.245
Pm  0.245  0.245  0.755
Pm  0.245  0.755  0.755
Pm  0.245  0.755  0.245
Pm  0.755  0.245  0.755

Properties
DOS(E_F) (states/eV per cell): 45.86
Energy of formation (eV per atom): 0.24
Magnetization (μB per formula unit): 0.00



Record 5
Crystalline Pm3PrY12 at its relaxed geometry, computed with PBE-GGA.

abc: 5.083 5.083 20.344
angles: 90.00 90.00 90.00
Element x y z (fractional)
Y  0.500  0.000  0.375
Y  0.500  0.500  0.500
Y  0.500  0.000  0.874
Y  0.500  0.500  0.000
Y  0.000  0.500  0.625
Y  0.500  0.000  0.126
Y  0.000  0.500  0.126
Y  0.500  0.500  0.251
Y  0.500  0.000  0.625
Y  0.000  0.500  0.375
Y  0.500  0.500  0.749
Y  0.000  0.500  0.874
Pm  0.000  0.000  0.250
Pm  0.000  0.000  0.750
Pm  0.000  0.000  0.500
Pr  0.000  0.000  0.000

Properties
DOS(E_F) (states/eV per cell): 24.14
Energy of formation (eV per atom): 0.02
Magnetization (μB per formula unit): 0.00



Record 6
Crystalline PmPr2Y8 at its relaxed geometry, computed with PBE-GGA.

abc: 5.645 10.195 10.195
angles: 40.66 92.72 92.72
Element x y z (fractional)
Y  0.764  0.454  0.454
Y  0.269  0.605  0.136
Y  0.731  0.395  0.864
Y  0.269  0.136  0.605
Y  0.233  0.185  0.185
Y  0.731  0.864  0.395
Y  0.236  0.546  0.546
Y  0.767  0.815  0.815
Pr  0.250  0.716  0.716
Pr  0.750  0.284  0.284
Pm  0.000  0.000  0.000

Properties
Offset from the most stable computed form (meV per atom): 2
DOS(E_F) (states/eV per cell): 18.97
Energy of formation (eV per atom): 0.16
Magnetization (μB per formula unit): 0.00



Record 7
Crystalline Pm6PrY12 at its relaxed geometry, computed with PBE-GGA.

abc: 8.723 8.723 8.723
angles: 79.79 79.79 79.79
Element x y z (fractional)
Y  0.517  0.517  0.197
Y  0.803  0.483  0.483
Y  0.519  0.863  0.863
Y  0.517  0.197  0.517
Y  0.483  0.803  0.483
Y  0.137  0.137  0.481
Y  0.863  0.863  0.519
Y  0.137  0.481  0.137
Y  0.483  0.483  0.803
Y  0.197  0.517  0.517
Y  0.481  0.137  0.137
Y  0.863  0.519  0.863
Pm  0.771  0.771  0.165
Pm  0.771  0.165  0.771
Pm  0.165  0.771  0.771
Pm  0.229  0.229  0.835
Pm  0.835  0.229  0.229
Pm  0.229  0.835  0.229
Pr  0.000  0.000  0.000

Properties
Offset from the most stable computed form (meV per atom): 89
DOS(E_F) (states/eV per cell): 32.15
Energy of formation (eV per atom): 0.11
Magnetization (μB per formula unit): 0.00



Record 8
Crystalline Pm12PrY6 at its relaxed geometry, computed with PBE-GGA.

abc: 8.869 8.869 8.869
angles: 99.09 99.09 99.09
Element x y z (fractional)
Pm  0.500  0.243  0.757
Pm  0.500  0.757  0.243
Pm  0.646  0.646  0.920
Pm  0.646  0.920  0.646
Pm  0.354  0.354  0.080
Pm  0.243  0.757  0.500
Pm  0.757  0.243  0.500
Pm  0.080  0.354  0.354
Pm  0.243  0.500  0.757
Pm  0.920  0.646  0.646
Pm  0.757  0.500  0.243
Pm  0.354  0.080  0.354
Y  0.662  0.101  0.101
Y  0.101  0.662  0.101
Y  0.899  0.899  0.338
Y  0.899  0.338  0.899
Y  0.101  0.101  0.662
Y  0.338  0.899  0.899
Pr  0.000  0.000  0.000

Properties
Offset from the most stable computed form (meV per atom): 57
DOS(E_F) (states/eV per cell): 38.28
Energy of formation (eV per atom): 0.19
Magnetization (μB per formula unit): 0.00



Record 9
Crystalline PmPrY at its relaxed geometry, computed with PBE-GGA.

abc: 3.646 3.646 8.929
angles: 90.00 90.00 120.00
Element x y z (fractional)
Pr  0.000  0.000  0.003
Y  0.667  0.333  0.335
Pm  0.333  0.667  0.662

Properties
Offset from the most stable computed form (meV per atom): 0
DOS(E_F) (states/eV per cell): 4.28
Energy of formation (eV per atom): 0.01
Magnetization (μB per formula unit): 0.00



Record 10
Crystalline Pm2Pr3Y3 at its relaxed geometry, computed with PBE-GGA.

abc: 5.147 5.167 10.927
angles: 103.68 103.62 90.00
Element x y z (fractional)
Pr  0.124  0.124  0.249
Pr  0.876  0.876  0.751
Pr  0.000  0.500  0.000
Pm  0.250  0.750  0.499
Pm  0.750  0.250  0.501
Y  0.625  0.625  0.251
Y  0.375  0.375  0.749
Y  0.500  0.000  0.000

Properties
Offset from the most stable computed form (meV per atom): 0
DOS(E_F) (states/eV per cell): 12.79
Energy of formation (eV per atom): 0.02
Magnetization (μB per formula unit): 0.00



Record 11
Crystalline Pm7PrY12 at its relaxed geometry, computed with PBE-GGA.

abc: 9.828 9.828 9.828
angles: 109.47 109.47 109.47
Element x y z (fractional)
Y  0.749  0.000  0.251
Y  0.498  0.749  0.749
Y  0.251  0.749  0.000
Y  0.502  0.251  0.251
Y  0.749  0.498  0.749
Y  0.000  0.749  0.251
Y  0.000  0.251  0.749
Y  0.251  0.000  0.749
Y  0.749  0.749  0.498
Y  0.251  0.502  0.251
Y  0.251  0.251  0.502
Y  0.749  0.251  0.000
Pm  0.500  0.500  0.500
Pm  0.500  0.000  0.000
Pm  0.500  0.000  0.500
Pm  0.000  0.000  0.500
Pm  0.000  0.500  0.000
Pm  0.500  0.500  0.000
Pm  0.000  0.500  0.500
Pr  0.000  0.000  0.000

Properties
Offset from the most stable computed form (meV per atom): 354
DOS(E_F) (states/eV per cell): 27.84
Energy of formation (eV per atom): 0.62
Magnetization (μB per formula unit): 0.00



Record 12
Crystalline PmPr6Y12 at its relaxed geometry, computed with PBE-GGA.

abc: 8.850 8.850 8.850
angles: 99.09 99.09 99.09
Element x y z (fractional)
Y  0.353  0.080  0.353
Y  0.500  0.757  0.243
Y  0.647  0.920  0.647
Y  0.243  0.757  0.500
Y  0.757  0.500  0.243
Y  0.080  0.353  0.353
Y  0.243  0.500  0.757
Y  0.353  0.353  0.080
Y  0.647  0.647  0.920
Y  0.500  0.243  0.757
Y  0.920  0.647  0.647
Y  0.757  0.243  0.500
Pr  0.098  0.657  0.098
Pr  0.657  0.098  0.098
Pr  0.098  0.098  0.657
Pr  0.343  0.902  0.902
Pr  0.902  0.343  0.902
Pr  0.902  0.902  0.343
Pm  0.000  0.000  0.000

Properties
Offset from the most stable computed form (meV per atom): 0
DOS(E_F) (states/eV per cell): 34.20
Energy of formation (eV per atom): 0.21
Magnetization (μB per formula unit): 0.00



DOS(E_F) of number 2 (Pm2Pr7Y)? 16.03 states/eV per cell



Look up the DOS(E_F) of the sixth one. 18.97 states/eV per cell



What did the third record say?
Crystalline Pm7Pr12Y at its relaxed geometry, computed with PBE-GGA.

abc: 8.968 8.968 8.968
angles: 88.08 88.08 88.08
Element x y z (fractional)
Pr  0.276  0.145  0.743
Pr  0.139  0.490  0.614
Pr  0.145  0.743  0.276
Pr  0.614  0.139  0.490
Pr  0.510  0.386  0.861
Pr  0.861  0.510  0.386
Pr  0.257  0.724  0.855
Pr  0.724  0.855  0.257
Pr  0.855  0.257  0.724
Pr  0.743  0.276  0.145
Pr  0.490  0.614  0.139
Pr  0.386  0.861  0.510
Pm  0.853  0.610  0.928
Pm  0.928  0.853  0.610
Pm  0.500  0.500  0.500
Pm  0.610  0.928  0.853
Pm  0.147  0.390  0.072
Pm  0.072  0.147  0.390
Pm  0.390  0.072  0.147
Y  0.000  0.000  0.000

Properties
Offset from the most stable computed form (meV per atom): 0
DOS(E_F) (states/eV per cell): 40.35
Energy of formation (eV per atom): 0.21
Magnetization (μB per formula unit): 0.00



What is the energy of formation in the second record? 0.61 eV per atom